This record from Alexandria describes a PBEsol-optimized structure of AlAg2. The functional is SCAN.

Values from the calculation:
Calculated total energy   -23.600 eV per atom
ρ   8.4 g/cm³
Magnetic moment   0.00 μB per cell

Cell: 4.9405 8.3751 4.9903 Å, 90.00 111.43 90.00°
Closest atoms and distances in Å follow each position.
Space group C2/c (No. 15)
Inequivalent atoms, fractional coordinates:
Al 0.0000 0.0905 0.2500 [4 per cell]  10 Ag 2.76-2.85, 2 Al 2.92
Ag 0.0000 0.2388 0.7500 [4 per cell]  5 Al 2.76-2.85, 7 Ag 2.80-2.93
Ag 0.0000 0.4214 0.2500 [4 per cell]  5 Al 2.77-2.85, 7 Ag 2.81-2.93